Material: AcYEr5
Method: DFT, PBE-GGA
State: relaxed

Unit cell a=8.6035 b=8.6035 c=6.9681 alpha=102.37 beta=102.37 gamma=99.73
Last column: nearest neighbours and their distance in Å.
Element x y z (fractional)
1 Ac 0.1561 0.8439 0.7500  7 Er 3.44-3.69
2 Ac 0.8439 0.1561 0.2500  7 Er 3.44-3.69
3 Y 0.0000 0.5000 0.0000  6 Er 3.31-3.66
4 Y 0.5000 0.0000 0.5000  6 Er 3.31-3.66
5 Er 0.1083 0.8917 0.2500  2 Y 3.31, 4 Er 3.40-3.62, 3 Ac 3.48-3.54
6 Er 0.2383 0.2754 0.6389  7 Er 3.33-3.62, 1 Y 3.66, 1 Ac 3.69
7 Er 0.2754 0.2383 0.1389  7 Er 3.33-3.62, 1 Y 3.66, 1 Ac 3.69
8 Er 0.3510 0.6029 0.4685  5 Er 3.25-3.58, 1 Y 3.38, 1 Ac 3.44
9 Er 0.3971 0.6490 0.0315  5 Er 3.25-3.58, 1 Y 3.38, 1 Ac 3.44
10 Er 0.6029 0.3510 0.9685  5 Er 3.25-3.58, 1 Y 3.38, 1 Ac 3.44
11 Er 0.6490 0.3971 0.5315  5 Er 3.25-3.58, 1 Y 3.38, 1 Ac 3.44
12 Er 0.7246 0.7617 0.8611  7 Er 3.33-3.62, 1 Y 3.66, 1 Ac 3.69
13 Er 0.7617 0.7246 0.3611  7 Er 3.33-3.62, 1 Y 3.66, 1 Ac 3.69
14 Er 0.8917 0.1083 0.7500  2 Y 3.31, 4 Er 3.40-3.62, 3 Ac 3.48-3.54

Its symmetry is C2/c (15). As for the theoretical density: 8.0 g/cm3. The calculation puts the total energy at -31.949 eV per formula unit. The value obtained for the density of states at the Fermi level is 20.39 states/eV/cell.